# Ba2LiSmCoCu2O7 | Alexandria via LeMat-Bulk | GGA+U | relaxed
data_Ba2LiSmCoCu2O7
_symmetry_space_group_name_H-M 'P m m 2'
_symmetry_Int_Tables_number 25
_cell_length_a 3.825
_cell_length_b 12.777
_cell_length_c 4.014
_cell_angle_alpha 90.00
_cell_angle_beta 90.00
_cell_angle_gamma 90.00
loop_
_symmetry_equiv_pos_as_xyz
'x,y,z'
'-x,-y,z'
'-x,y,z'
'x,-y,z'
loop_
_atom_site_label
_atom_site_fract_x
_atom_site_fract_y
_atom_site_fract_z
Ba1 0.000 0.215 0.000
Li1 0.000 0.000 0.848
Sm1 0.000 0.500 0.992
Co1 0.500 0.000 0.427
Cu1 0.500 0.379 0.493
O1 0.000 0.383 0.492
O2 0.500 0.000 0.941
O3 0.500 0.144 0.453
O4 0.500 0.380 0.993
# total DFT energy (no corrections) = -5.95 eV/atom
# size of the total moment = 2.4 Bohr magnetons per cell
# energy above the lowest structure with this stoichiometry = 19 meV/atom
# D(E_F) = 0.217 states/eV per atom